Computed, not measured: crystalline YPS2O at its relaxed geometry at the PBE level of DFT.

## Properties
Symmetry: P4/mmm (123)
D(E_F) in states/eV/atom: 0.38
Spin magnetization in μB per cell: 0.0
Calculated density in g cm⁻³: 4.1

Cell lengths 4.409, 4.409, 4.152 Å; angles 90.00, 90.00, 90.00 degrees
Positions (direct):
Y  0.500  0.500  0.500
P  0.000  0.000  0.500
S  0.000  0.500  0.000
S  0.500  0.000  0.000
O  0.000  0.000  0.000



Computed, not measured: crystalline YP2SO at its relaxed geometry at the PBE level of DFT.

## Properties
Symmetry: P4/mmm (123)
D(E_F) in states/eV/atom: 0.97
Spin magnetization in μB per cell: 1.0
Calculated density in g cm⁻³: 2.7

Cell lengths 5.466, 5.466, 4.116 Å; angles 90.00, 90.00, 90.00 degrees
Last column: magnetic moment on the atom in μB.
Positions (direct):
Y  0.000  0.000  0.000  0.02
P  0.000  0.500  0.000  0.22
P  0.500  0.000  0.000  0.22
S  0.500  0.500  0.500  -0.12
O  0.000  0.000  0.500  0.21



Computed, not measured: crystalline Y8P3S4O at its relaxed geometry at the PBE level of DFT.

## Properties
Symmetry: R-3m (166)
D(E_F) in states/eV/atom: 0.42
Spin magnetization in μB per cell: 0.0
Calculated density in g cm⁻³: 4.7

Cell lengths 7.785, 7.839, 7.786 Å; angles 119.77, 120.00, 90.00 degrees
Positions (direct):
Y  0.239  0.733  0.995
Y  0.239  0.734  0.478
Y  0.252  0.257  0.505
Y  0.756  0.733  0.995
Y  0.244  0.267  0.005
Y  0.748  0.743  0.495
Y  0.761  0.266  0.522
Y  0.761  0.267  0.005
P  0.500  0.500  0.000
P  0.500  0.500  0.500
P  0.000  0.500  0.500
S  0.500  0.000  0.000
S  0.500  0.000  0.500
S  0.000  0.000  0.000
S  0.000  0.000  0.500
O  0.000  0.500  0.000



Computed, not measured: crystalline YP2SO at its relaxed geometry at the PBE level of DFT.

## Properties
Symmetry: P4/mmm (123)
D(E_F) in states/eV/atom: 0.57
Spin magnetization in μB per cell: 0.0
Calculated density in g cm⁻³: 4.0

Cell lengths 4.625, 4.625, 3.858 Å; angles 90.00, 90.00, 90.00 degrees
Positions (direct):
Y  0.500  0.500  0.500
P  0.000  0.500  0.000
P  0.500  0.000  0.000
S  0.000  0.000  0.000
O  0.000  0.000  0.500



Computed, not measured: crystalline YP2SO at its relaxed geometry at the PBE level of DFT.

## Properties
Symmetry: P4/mmm (123)
D(E_F) in states/eV/atom: 0.55
Spin magnetization in μB per cell: 0.0
Calculated density in g cm⁻³: 3.7

Cell lengths 3.861, 3.861, 6.007 Å; angles 90.00, 90.00, 90.00 degrees
Positions (direct):
Y  0.500  0.500  0.500
P  0.000  0.500  0.000
P  0.500  0.000  0.000
S  0.000  0.000  0.500
O  0.000  0.000  0.000



Computed, not measured: crystalline YPS2O at its relaxed geometry at the PBE level of DFT.

## Properties
Symmetry: P4/mmm (123)
D(E_F) in states/eV/atom: 1.84
Spin magnetization in μB per cell: 4.2
Calculated density in g cm⁻³: 2.2

Cell lengths 5.251, 5.251, 5.539 Å; angles 90.00, 90.00, 90.00 degrees
Last column: magnetic moment on the atom in μB.
Positions (direct):
Y  0.000  0.000  0.000  0.00
P  0.000  0.000  0.500  -0.57
S  0.000  0.500  0.000  -0.34
S  0.500  0.000  0.000  -0.34
O  0.500  0.500  0.500  -1.43



Computed, not measured: crystalline YP2SO at its relaxed geometry at the PBE level of DFT.

## Properties
Symmetry: P4/mmm (123)
D(E_F) in states/eV/atom: 1.37
Spin magnetization in μB per cell: 3.2
Calculated density in g cm⁻³: 2.2

Cell lengths 5.398, 5.398, 5.202 Å; angles 90.00, 90.00, 90.00 degrees
Last column: magnetic moment on the atom in μB.
Positions (direct):
Y  0.000  0.000  0.000  0.01
P  0.000  0.500  0.000  0.28
P  0.500  0.000  0.000  0.28
S  0.000  0.000  0.500  0.10
O  0.500  0.500  0.500  1.40



Computed, not measured: crystalline ZnP2SO at its relaxed geometry at the PBE level of DFT.

## Properties
Symmetry: P4/mmm (123)
D(E_F) in states/eV/atom: 1.40
Spin magnetization in μB per cell: 0.2
Calculated density in g cm⁻³: 3.0

Cell lengths 4.647, 4.647, 4.439 Å; angles 90.00, 90.00, 90.00 degrees
Last column: magnetic moment on the atom in μB.
Positions (direct):
P  0.000  0.500  0.000  0.04
P  0.500  0.000  0.000  0.04
Zn  0.000  0.000  0.000  0.01
S  0.000  0.000  0.500  -0.03
O  0.500  0.500  0.500  0.07



Number 1: formation energy (no corrections) -2.0 eV/f.u.. Number 2: formation energy (no corrections) 1.5 eV/f.u.. Number 3: formation energy (no corrections) -31.3 eV/f.u.. Number 4: formation energy (no corrections) -1.3 eV/f.u.. Number 5: formation energy (no corrections) -2.5 eV/f.u.. Number 6: formation energy (no corrections) 3.2 eV/f.u.. Number 7: formation energy (no corrections) 4.8 eV/f.u.. Number 8: formation energy (no corrections) 7.1 eV/f.u..